Entry 1:
## Tl2GePbSe (PBE-GGA)

Data for Tl2GePbSe after structural relaxation.

Results
Energy = -2.6507 eV/atom

```
Tl2GePbSe
1.0
5.928 0.000 0.000
0.000 5.543 0.000
0.000 0.000 5.928
Tl Pb Ge Se
2 1 1 1
Direct
0.500 0.000 0.000
0.000 0.000 0.500
0.000 0.000 0.000
0.500 0.500 0.500
0.000 0.500 0.000
```



Entry 2:
## Tm4GePbSe2 (PBE-GGA)

Data for Tm4GePbSe2 after structural relaxation.

Results
Energy = -5.3156 eV/atom

```
Tm4GePbSe2
1.0
4.104 0.000 0.000
0.000 7.212 -0.152
0.000 2.531 6.823
Tm Ge Pb Se
4 1 1 2
Direct
0.500 0.260 0.736
0.000 0.248 0.265
0.500 0.740 0.264
0.000 0.752 0.735
0.000 0.500 0.500
0.500 0.500 0.000
0.500 0.000 0.500
0.000 0.000 0.000
```



Entry 3:
## Tm6Ge2PbSe3 (PBE-GGA)

Data for Tm6Ge2PbSe3 after structural relaxation.

Results
Energy = -5.4171 eV/atom

```
Tm6Ge2PbSe3
1.0
-3.931 -1.041 0.508
2.130 -8.062 -0.040
2.503 2.750 8.470
Pb Se Tm Ge
1 3 6 2
Direct
0.500 0.000 0.000
0.500 0.500 0.000
0.166 0.832 0.331
0.834 0.168 0.669
0.328 0.425 0.656
0.329 0.899 0.658
0.995 0.737 0.990
0.005 0.263 0.010
0.672 0.575 0.344
0.671 0.101 0.342
0.833 0.665 0.667
0.167 0.335 0.333
```